{
  "formula": "LuNpMn2",
  "functional": "GGA-PBE",
  "state": "optimized geometry",
  "dft_energy_ev_per_cell": -34.52,
  "sg": "R-3m (166)",
  "dos_ef_per_ev_cell": 4.11,
  "ef_mev_per_atom": 320,
  "mass_density_g_cm3": 12.47,
  "cell": [[1.604, 0.926, 7.799], [-1.604, 0.926, 7.799], [0.000, -1.852, 7.799]],
  "species": ["Lu", "Np", "Mn", "Mn"],
  "frac_coords": [[0.000, 0.000, 0.000], [0.500, 0.500, 0.500], [0.236, 0.236, 0.236], [0.764, 0.764, 0.764]]
}

***

{
  "formula": "MnNiAg",
  "functional": "GGA-PBE",
  "state": "optimized geometry",
  "dft_energy_ev_per_cell": -17.05,
  "sg": "P3m1 (156)",
  "dos_ef_per_ev_cell": 2.54,
  "ef_mev_per_atom": 250,
  "de_polymorph_mev_per_atom": 98,
  "mass_density_g_cm3": 8.45,
  "cell": [[2.792, 0.000, 0.000], [-1.396, 2.418, 0.000], [0.000, 0.000, 6.450]],
  "species": ["Mn", "Ni", "Ag"],
  "frac_coords": [[0.000, 0.000, 0.000], [0.667, 0.333, 0.289], [0.333, 0.667, 0.637]]
}

***

{
  "formula": "AsPdBr2",
  "functional": "GGA-PBE",
  "state": "optimized geometry",
  "dft_energy_ev_per_cell": -23.81,
  "sg": "I-42d (122)",
  "dos_ef_per_ev_cell": 6.91,
  "raw_formation_energy_ev_per_atom": 0.32,
  "de_polymorph_mev_per_atom": 113,
  "mass_density_g_cm3": 5.65,
  "cell": [[-2.455, 2.455, 8.316], [2.455, -2.455, 8.316], [2.455, 2.455, -8.316]],
  "species": ["As", "As", "Pd", "Pd", "Br", "Br", "Br", "Br"],
  "frac_coords": [[0.000, 0.000, 0.000], [0.750, 0.250, 0.500], [0.250, 0.750, 0.500], [0.500, 0.500, 0.000], [0.131, 0.625, 0.006], [0.375, 0.381, 0.506], [0.619, 0.125, 0.994], [0.875, 0.869, 0.494]]
}

***

{
  "formula": "GdCuNiAu",
  "functional": "GGA-PBE",
  "state": "optimized geometry",
  "dft_energy_ev_per_cell": -28.43,
  "sg": "F-43m (216)",
  "dos_ef_per_ev_cell": 2.38,
  "ef_mev_per_atom": -298,
  "mass_density_g_cm3": 11.47,
  "cell": [[0.000, 3.255, 3.255], [3.255, 0.000, 3.255], [3.255, 3.255, 0.000]],
  "species": ["Gd", "Cu", "Ni", "Au"],
  "frac_coords": [[0.000, 0.000, 0.000], [0.750, 0.750, 0.750], [0.250, 0.250, 0.250], [0.500, 0.500, 0.500]]
}

***

{
  "formula": "La3CdIr",
  "functional": "GGA-PBE",
  "state": "optimized geometry",
  "dft_energy_ev_per_cell": -106.64,
  "sg": "C2/c (15)",
  "dos_ef_per_ev_cell": 20.74,
  "ef_mev_per_atom": -421,
  "de_polymorph_mev_per_atom": 68,
  "mass_density_g_cm3": 7.35,
  "cell": [[6.330, -7.412, 0.000], [6.330, 7.412, 0.000], [-1.117, 0.000, 6.946]],
  "species": ["La", "La", "La", "La", "La", "La", "La", "La", "La", "La", "La", "La", "Cd", "Cd", "Cd", "Cd", "Ir", "Ir", "Ir", "Ir"],
  "frac_coords": [[0.050, 0.763, 0.967], [0.165, 0.562, 0.384], [0.237, 0.950, 0.533], [0.296, 0.449, 0.880], [0.438, 0.835, 0.116], [0.449, 0.296, 0.380], [0.551, 0.704, 0.620], [0.562, 0.165, 0.884], [0.704, 0.551, 0.120], [0.763, 0.050, 0.467], [0.835, 0.438, 0.616], [0.950, 0.237, 0.033], [0.085, 0.231, 0.519], [0.231, 0.085, 0.019], [0.769, 0.915, 0.981], [0.915, 0.769, 0.481], [0.273, 0.727, 0.750], [0.431, 0.569, 0.250], [0.569, 0.431, 0.750], [0.727, 0.273, 0.250]]
}

***

{
  "formula": "CdIn2Sb",
  "functional": "GGA-PBE",
  "state": "optimized geometry",
  "dft_energy_ev_per_cell": -19.79,
  "sg": "I-42d (122)",
  "dos_ef_per_ev_cell": 2.27,
  "raw_formation_energy_ev_per_atom": 0.16,
  "de_polymorph_mev_per_atom": 118,
  "mass_density_g_cm3": 5.32,
  "cell": [[-3.611, 3.611, 5.547], [3.611, -3.611, 5.547], [3.611, 3.611, -5.547]],
  "species": ["Cd", "Cd", "In", "In", "In", "In", "Sb", "Sb"],
  "frac_coords": [[0.000, 0.000, 0.000], [0.750, 0.250, 0.500], [0.129, 0.625, 0.004], [0.375, 0.379, 0.504], [0.621, 0.125, 0.996], [0.875, 0.871, 0.496], [0.250, 0.750, 0.500], [0.500, 0.500, 0.000]]
}

***

{
  "formula": "Pa3AlTe6",
  "functional": "GGA-PBE",
  "state": "optimized geometry",
  "dft_energy_ev_per_cell": -114.34,
  "sg": "Cmc2_1 (36)",
  "dos_ef_per_ev_cell": 32.59,
  "raw_formation_energy_ev_per_atom": -0.61,
  "mass_density_g_cm3": 7.91,
  "cell": [[6.080, -6.995, 0.000], [6.080, 6.995, 0.000], [0.000, 0.000, 7.338]],
  "species": ["Pa", "Pa", "Pa", "Pa", "Pa", "Pa", "Al", "Al", "Te", "Te", "Te", "Te", "Te", "Te", "Te", "Te", "Te", "Te", "Te", "Te"],
  "frac_coords": [[0.103, 0.897, 0.500], [0.237, 0.423, 0.389], [0.423, 0.237, 0.889], [0.577, 0.763, 0.389], [0.763, 0.577, 0.889], [0.897, 0.103, 0.000], [0.240, 0.760, 0.830], [0.760, 0.240, 0.330], [0.016, 0.573, 0.606], [0.118, 0.204, 0.691], [0.204, 0.118, 0.191], [0.275, 0.725, 0.211], [0.427, 0.984, 0.606], [0.437, 0.563, 0.724], [0.563, 0.437, 0.224], [0.573, 0.016, 0.106], [0.725, 0.275, 0.711], [0.796, 0.882, 0.691], [0.882, 0.796, 0.191], [0.984, 0.427, 0.106]]
}

***

{
  "formula": "NiHgN",
  "functional": "GGA-PBE",
  "state": "optimized geometry",
  "dft_energy_ev_per_cell": -27.32,
  "sg": "C2/m (12)",
  "dos_ef_per_ev_cell": 2.86,
  "raw_formation_energy_ev_per_atom": 0.25,
  "mass_density_g_cm3": 9.14,
  "cell": [[4.494, -1.419, 0.000], [4.494, 1.419, 0.000], [-1.444, 0.000, 7.787]],
  "species": ["Ni", "Ni", "Hg", "Hg", "N", "N"],
  "frac_coords": [[0.111, 0.111, 0.214], [0.889, 0.889, 0.786], [0.143, 0.143, 0.625], [0.857, 0.857, 0.375], [0.463, 0.463, 0.927], [0.537, 0.537, 0.073]]
}

***

{
  "formula": "YSb3Ru",
  "functional": "GGA-PBE",
  "state": "optimized geometry",
  "dft_energy_ev_per_cell": -27.38,
  "sg": "Pm-3m (221)",
  "dos_ef_per_ev_cell": 11.08,
  "raw_formation_energy_ev_per_atom": 0.15,
  "de_polymorph_mev_per_atom": 0,
  "mass_density_g_cm3": 6.65,
  "cell": [[5.175, 0.000, 0.000], [0.000, 5.175, 0.000], [0.000, 0.000, 5.175]],
  "species": ["Y", "Sb", "Sb", "Sb", "Ru"],
  "frac_coords": [[0.000, 0.000, 0.000], [0.000, 0.500, 0.500], [0.500, 0.000, 0.500], [0.500, 0.500, 0.000], [0.500, 0.500, 0.500]]
}

***

{
  "formula": "BaPb3Cl",
  "functional": "GGA-PBE",
  "state": "optimized geometry",
  "dft_energy_ev_per_cell": -11.34,
  "sg": "Pm-3m (221)",
  "dos_ef_per_ev_cell": 7.78,
  "raw_formation_energy_ev_per_atom": 0.71,
  "de_polymorph_mev_per_atom": 897,
  "mass_density_g_cm3": 4.85,
  "cell": [[6.478, 0.000, 0.000], [0.000, 6.478, 0.000], [0.000, 0.000, 6.478]],
  "species": ["Ba", "Pb", "Pb", "Pb", "Cl"],
  "frac_coords": [[0.000, 0.000, 0.000], [0.000, 0.000, 0.500], [0.000, 0.500, 0.000], [0.500, 0.000, 0.000], [0.500, 0.500, 0.500]]
}

***

{
  "formula": "LiTiGaPd",
  "functional": "GGA-PBE",
  "state": "optimized geometry",
  "dft_energy_ev_per_cell": -20.29,
  "sg": "F-43m (216)",
  "ef_mev_per_atom": -565,
  "de_polymorph_mev_per_atom": 0,
  "mass_density_g_cm3": 6.64,
  "cell": [[0.000, 3.068, 3.068], [3.068, 0.000, 3.068], [3.068, 3.068, 0.000]],
  "species": ["Li", "Ti", "Ga", "Pd"],
  "frac_coords": [[0.000, 0.000, 0.000], [0.750, 0.750, 0.750], [0.250, 0.250, 0.250], [0.500, 0.500, 0.500]]
}

***

{
  "formula": "NaIr",
  "functional": "GGA-PBE",
  "state": "optimized geometry",
  "dft_energy_ev_per_cell": -29.88,
  "sg": "P4_2/mnm (136)",
  "dos_ef_per_ev_cell": 7.76,
  "ef_mev_per_atom": 1355,
  "mass_density_g_cm3": 7.42,
  "cell": [[5.810, 0.000, 0.000], [0.000, 5.810, 0.000], [0.000, 0.000, 5.703]],
  "species": ["Na", "Na", "Na", "Na", "Ir", "Ir", "Ir", "Ir"],
  "frac_coords": [[0.179, 0.179, 0.000], [0.321, 0.679, 0.500], [0.679, 0.321, 0.500], [0.821, 0.821, 0.000], [0.143, 0.143, 0.500], [0.357, 0.643, 0.000], [0.643, 0.357, 0.000], [0.857, 0.857, 0.500]]
}

***

{
  "formula": "Sc3TiS",
  "functional": "GGA-PBE",
  "state": "optimized geometry",
  "dft_energy_ev_per_cell": -28.18,
  "sg": "Pm-3m (221)",
  "dos_ef_per_ev_cell": 4.28,
  "raw_formation_energy_ev_per_atom": 0.57,
  "de_polymorph_mev_per_atom": 977,
  "mass_density_g_cm3": 2.90,
  "cell": [[4.974, 0.000, 0.000], [0.000, 4.974, 0.000], [0.000, 0.000, 4.974]],
  "species": ["Sc", "Sc", "Sc", "Ti", "S"],
  "frac_coords": [[0.000, 0.000, 0.500], [0.000, 0.500, 0.000], [0.500, 0.000, 0.000], [0.000, 0.000, 0.000], [0.500, 0.500, 0.500]]
}

***

{
  "formula": "KBe2Al2",
  "functional": "GGA-PBE",
  "state": "optimized geometry",
  "dft_energy_ev_per_cell": -27.99,
  "sg": "P4/mbm (127)",
  "dos_ef_per_ev_cell": 3.51,
  "ef_mev_per_atom": 408,
  "mass_density_g_cm3": 2.19,
  "cell": [[8.074, 0.000, 0.000], [0.000, 8.074, 0.000], [0.000, 0.000, 2.587]],
  "species": ["K", "K", "Be", "Be", "Be", "Be", "Al", "Al", "Al", "Al"],
  "frac_coords": [[0.000, 0.000, 0.000], [0.500, 0.500, 0.000], [0.146, 0.354, 0.000], [0.354, 0.854, 0.000], [0.646, 0.146, 0.000], [0.854, 0.646, 0.000], [0.133, 0.633, 0.500], [0.367, 0.133, 0.500], [0.633, 0.867, 0.500], [0.867, 0.367, 0.500]]
}

***

{
  "formula": "W2BrCl",
  "functional": "GGA-PBE",
  "state": "optimized geometry",
  "dft_energy_ev_per_cell": -22.84,
  "sg": "Cmmm (65)",
  "dos_ef_per_ev_cell": 4.63,
  "raw_formation_energy_ev_per_atom": 1.65,
  "de_polymorph_mev_per_atom": 1715,
  "mass_density_g_cm3": 11.67,
  "cell": [[2.883, -4.117, 0.000], [2.883, 4.117, 0.000], [0.000, 0.000, 2.895]],
  "species": ["W", "W", "Br", "Cl"],
  "frac_coords": [[0.000, 0.500, 0.000], [0.500, 0.000, 0.000], [0.000, 0.000, 0.500], [0.500, 0.500, 0.500]]
}

***

{
  "formula": "NpAlIrRu",
  "functional": "GGA-PBE",
  "state": "optimized geometry",
  "dft_energy_ev_per_cell": -36.41,
  "sg": "F-43m (216)",
  "dos_ef_per_ev_cell": 4.30,
  "ef_mev_per_atom": -397,
  "mass_density_g_cm3": 13.63,
  "cell": [[0.000, 3.238, 3.238], [3.238, 0.000, 3.238], [3.238, 3.238, 0.000]],
  "species": ["Np", "Al", "Ir", "Ru"],
  "frac_coords": [[0.000, 0.000, 0.000], [0.500, 0.500, 0.500], [0.750, 0.750, 0.750], [0.250, 0.250, 0.250]]
}

***

{
  "formula": "LiTc2Se",
  "functional": "GGA-PBE",
  "state": "optimized geometry",
  "dft_energy_ev_per_cell": -24.56,
  "sg": "R-3m (166)",
  "dos_ef_per_ev_cell": 2.01,
  "raw_formation_energy_ev_per_atom": 0.39,
  "mass_density_g_cm3": 7.53,
  "cell": [[1.469, 0.848, 8.314], [-1.469, 0.848, 8.314], [0.000, -1.696, 8.314]],
  "species": ["Li", "Tc", "Tc", "Se"],
  "frac_coords": [[0.000, 0.000, 0.000], [0.241, 0.241, 0.241], [0.759, 0.759, 0.759], [0.500, 0.500, 0.500]]
}

***

{
  "formula": "Mn2ICl3",
  "functional": "GGA-PBE",
  "state": "optimized geometry",
  "dft_energy_ev_per_cell": -61.78,
  "sg": "P-3m1 (164)",
  "raw_formation_energy_ev_per_atom": -0.91,
  "mass_density_g_cm3": 3.28,
  "cell": [[7.614, 0.000, 0.000], [-3.807, 6.594, 0.000], [0.000, 0.000, 6.929]],
  "species": ["Mn", "Mn", "Mn", "Mn", "I", "I", "Cl", "Cl", "Cl", "Cl", "Cl", "Cl"],
  "frac_coords": [[0.000, 0.000, 0.000], [0.000, 0.500, 0.000], [0.500, 0.000, 0.000], [0.500, 0.500, 0.000], [0.333, 0.667, 0.733], [0.667, 0.333, 0.267], [0.168, 0.335, 0.192], [0.168, 0.832, 0.192], [0.335, 0.168, 0.808], [0.665, 0.832, 0.192], [0.832, 0.168, 0.808], [0.832, 0.665, 0.808]]
}

***

{
  "formula": "Tl12H3Se5",
  "functional": "GGA-PBE",
  "state": "optimized geometry",
  "dft_energy_ev_per_cell": -222.06,
  "sg": "Ia-3d (230)",
  "dos_ef_per_ev_cell": 36.37,
  "mass_density_g_cm3": 6.72,
  "cell": [[-8.897, 8.897, 8.897], [8.897, -8.897, 8.897], [8.897, 8.897, -8.897]],
  "species": ["Tl", "Tl", "Tl", "Tl", "Tl", "Tl", "Tl", "Tl", "Tl", "Tl", "Tl", "Tl", "Tl", "Tl", "Tl", "Tl", "Tl", "Tl", "Tl", "Tl", "Tl", "Tl", "Tl", "Tl", "Tl", "Tl", "Tl", "Tl", "Tl", "Tl", "Tl", "Tl", "Tl", "Tl", "Tl", "Tl", "Tl", "Tl", "Tl", "Tl", "Tl", "Tl", "Tl", "Tl", "Tl", "Tl", "Tl", "Tl", "H", "H", "H", "H", "H", "H", "H", "H", "H", "H", "H", "H", "Se", "Se", "Se", "Se", "Se", "Se", "Se", "Se", "Se", "Se", "Se", "Se", "Se", "Se", "Se", "Se", "Se", "Se", "Se", "Se"],
  "frac_coords": [[0.048, 0.717, 0.660], [0.048, 0.831, 0.388], [0.057, 0.217, 0.169], [0.057, 0.340, 0.888], [0.112, 0.669, 0.452], [0.112, 0.943, 0.660], [0.160, 0.217, 0.548], [0.160, 0.443, 0.612], [0.169, 0.057, 0.217], [0.169, 0.612, 0.952], [0.217, 0.169, 0.057], [0.217, 0.548, 0.160], [0.283, 0.340, 0.952], [0.283, 0.443, 0.331], [0.331, 0.283, 0.443], [0.331, 0.548, 0.888], [0.340, 0.888, 0.057], [0.340, 0.952, 0.283], [0.388, 0.048, 0.831], [0.388, 0.840, 0.557], [0.443, 0.331, 0.283], [0.443, 0.612, 0.160], [0.452, 0.112, 0.669], [0.452, 0.840, 0.783], [0.548, 0.160, 0.217], [0.548, 0.888, 0.331], [0.557, 0.388, 0.840], [0.557, 0.669, 0.717], [0.612, 0.160, 0.443], [0.612, 0.952, 0.169], [0.660, 0.048, 0.717], [0.660, 0.112, 0.943], [0.669, 0.452, 0.112], [0.669, 0.717, 0.557], [0.717, 0.557, 0.669], [0.717, 0.660, 0.048], [0.783, 0.452, 0.840], [0.783, 0.831, 0.943], [0.831, 0.388, 0.048], [0.831, 0.943, 0.783], [0.840, 0.557, 0.388], [0.840, 0.783, 0.452], [0.888, 0.057, 0.340], [0.888, 0.331, 0.548], [0.943, 0.660, 0.112], [0.943, 0.783, 0.831], [0.952, 0.169, 0.612], [0.952, 0.283, 0.340], [0.125, 0.250, 0.375], [0.125, 0.375, 0.750], [0.250, 0.375, 0.125], [0.250, 0.875, 0.625], [0.375, 0.125, 0.250], [0.375, 0.750, 0.125], [0.625, 0.250, 0.875], [0.625, 0.875, 0.750], [0.750, 0.125, 0.375], [0.750, 0.625, 0.875], [0.875, 0.625, 0.250], [0.875, 0.750, 0.625], [0.000, 0.000, 0.000], [0.000, 0.000, 0.500], [0.000, 0.500, 0.000], [0.000, 0.500, 0.500], [0.125, 0.750, 0.875], [0.125, 0.875, 0.250], [0.250, 0.125, 0.875], [0.250, 0.625, 0.375], [0.375, 0.250, 0.625], [0.375, 0.625, 0.750], [0.500, 0.000, 0.000], [0.500, 0.000, 0.500], [0.500, 0.500, 0.000], [0.500, 0.500, 0.500], [0.625, 0.375, 0.250], [0.625, 0.750, 0.375], [0.750, 0.375, 0.625], [0.750, 0.875, 0.125], [0.875, 0.125, 0.750], [0.875, 0.250, 0.125]]
}

***

{
  "formula": "IrRuPt2",
  "functional": "GGA-PBE",
  "state": "optimized geometry",
  "dft_energy_ev_per_cell": -30.16,
  "sg": "R3m (160)",
  "dos_ef_per_ev_cell": 5.68,
  "ef_mev_per_atom": 14,
  "de_polymorph_mev_per_atom": 58,
  "mass_density_g_cm3": 18.96,
  "cell": [[1.383, 0.799, 9.029], [-1.383, 0.799, 9.029], [0.000, -1.597, 9.029]],
  "species": ["Ir", "Ru", "Pt", "Pt"],
  "frac_coords": [[0.000, 0.000, 0.000], [0.745, 0.745, 0.745], [0.160, 0.160, 0.160], [0.581, 0.581, 0.581]]
}